Below is an optimized crystal structure of HfCo3Pt, with properties calculated at the PBE-GGA level.

a b c (Å): 4.527 4.527 4.527
angles (deg): 90.00 90.00 90.00
Space group Pm-3m (No. 221)
Asymmetric unit:
Hf1 0.000 0.000 0.000 x1
Co1 0.000 0.500 0.500 x3
Pt1 0.500 0.500 0.500 x1

Results
- energy above the lowest structure with this stoichiometry (eV/atom) = 0.000
- N(E_F) (states/eV/f.u.) = 7.05
- E_form (eV/f.u.) = 5.00
- total magnetization (μB/f.u.) = 5.23